a | Density functional theory data (PBE-GGA) for a geometry-optimized Y3CuAg structure.

abc: 10.107 10.107 5.045
angles: 90.00 90.00 151.11
Sites, in units of the cell vectors:
Y: 0.067 0.933 0.750
Y: 0.250 0.750 0.750
Y: 0.433 0.567 0.750
Y: 0.567 0.433 0.250
Y: 0.750 0.250 0.250
Y: 0.933 0.067 0.250
Cu: 0.160 0.840 0.250
Cu: 0.840 0.160 0.750
Ag: 0.341 0.659 0.250
Ag: 0.659 0.341 0.750

Values from the calculation:
SG: Cmcm, No. 63
Total moment: 0.31 μB/f.u.


b | Density functional theory data (PBE-GGA) for a geometry-optimized Y3CuAg structure.

abc: 5.502 5.502 5.502
angles: 90.00 90.00 90.00
Sites, in units of the cell vectors:
Y: 0.000 0.000 0.500
Y: 0.000 0.500 0.000
Y: 0.500 0.000 0.000
Cu: 0.500 0.500 0.500
Ag: 0.000 0.000 0.000

Values from the calculation:
SG: Pm-3m, No. 221
Total moment: 0.00 μB/f.u.


The most stable of them is a.


a | Density functional theory data (PBE-GGA) for a geometry-optimized Zn5Cu2Ag2 structure.

abc: 7.390 7.390 6.783
angles: 98.53 98.53 21.70
Sites, in units of the cell vectors:
Zn: 0.000 0.000 0.000
Zn: 0.103 0.103 0.355
Zn: 0.239 0.239 0.681
Zn: 0.761 0.761 0.319
Zn: 0.897 0.897 0.645
Cu: 0.177 0.177 0.023
Cu: 0.823 0.823 0.977
Ag: 0.430 0.430 0.300
Ag: 0.570 0.570 0.700

Values from the calculation:
SG: C2/m, No. 12
Total moment: 0.00 μB/f.u.


b | Density functional theory data (PBE-GGA) for a geometry-optimized Zn5Cu2Ag2 structure.

abc: 7.450 7.450 6.242
angles: 90.00 90.00 55.96
Sites, in units of the cell vectors:
Zn: 0.000 0.000 0.000
Zn: 0.042 0.708 0.665
Zn: 0.208 0.542 0.165
Zn: 0.292 0.958 0.665
Zn: 0.458 0.792 0.165
Zn: 0.500 0.500 0.500
Zn: 0.542 0.208 0.835
Zn: 0.708 0.042 0.335
Zn: 0.792 0.458 0.835
Zn: 0.958 0.292 0.335
Cu: 0.135 0.865 0.369
Cu: 0.365 0.635 0.869
Cu: 0.635 0.365 0.131
Cu: 0.865 0.135 0.631
Ag: 0.212 0.212 0.000
Ag: 0.288 0.288 0.500
Ag: 0.712 0.712 0.500
Ag: 0.788 0.788 0.000

Values from the calculation:
SG: Cmce, No. 64
Total moment: 0.00 μB/f.u.


The most stable of them is a.